# CoTePbO

CoTePbO after structural relaxation (PBE+U, OQMD via LeMat-Bulk).

abc: 4.1810 4.1810 9.3790
angles: 90.00 90.00 90.00
Atoms (fractional coordinates):
Co 0.2500 0.2500 0.0474
Co 0.7500 0.7500 0.9526
Te 0.2500 0.2500 0.3599
Te 0.7500 0.7500 0.6401
Pb 0.2500 0.2500 0.7370
Pb 0.7500 0.7500 0.2630
O 0.2500 0.7500 0.0000
O 0.7500 0.2500 0.0000

SG = P4/nmm (129)
energy above the most stable polymorph in this dataset = 341.4 meV per atom
total DFT energy (no corrections) = -35.55 eV for the cell shown